DFT (PBE-GGA) results for crystalline NdTeBr at its relaxed geometry.

Properties
The value obtained for the formation energy (no corrections) is -1.512 eV/atom. As for the distance to the lowest polymorph of the same formula: 82 meV per atom. The total magnetization is 0.0 Bohr magnetons per cell.

abc: 5.8147 6.1935 13.9617
angles: 90.00 90.00 90.00
Space group Imma (No. 74)
One atom of each set of equivalent atoms:
Nd 0.0000 0.2500 0.1109
Te 0.0000 0.2500 0.8933
Br 0.0000 0.2500 0.3356

DFT (PBE-GGA) results for crystalline Pr3TlZn4 at its relaxed geometry.

Properties
The total magnetization is 0.0 Bohr magnetons per cell. For the formation energy, the calculation gives -0.15 eV per atom.

abc: 3.8273 6.8568 16.1075
angles: 90.00 90.00 90.00
Space group Immm (No. 71)
One atom of each set of equivalent atoms:
Pr 0.0000 0.0000 0.0000
Pr 0.0000 0.5000 0.2007
Tl 0.0000 0.0000 0.5000
Zn 0.0000 0.3086 0.3723

DFT (PBE-GGA) results for crystalline CsThTcN4 at its relaxed geometry.

Properties
The value obtained for the formation energy (no corrections) is -0.633 eV/atom. The total magnetization is 0.0 Bohr magnetons per cell.

abc: 6.2463 6.0476 8.3880
angles: 90.00 105.21 90.00
Space group P2_1/m (No. 11)
One atom of each set of equivalent atoms:
Cs 0.2224 0.2500 0.4245
Th 0.2860 0.2500 0.9439
Tc 0.2420 0.7500 0.1422
N 0.0464 0.7500 0.9446
N 0.0595 0.7500 0.2777
N 0.4370 0.5165 0.1551

DFT (PBE-GGA) results for crystalline Ti4ReN at its relaxed geometry.

Properties
The value obtained for the formation energy (no corrections) is -0.703 eV/atom. The total magnetization is 0.0 Bohr magnetons per cell.

abc: 4.9201 3.0840 11.5092
angles: 90.00 99.44 90.00
Space group C2/m (No. 12)
One atom of each set of equivalent atoms:
Ti 0.0682 0.0000 0.1806
Ti 0.1240 0.5000 0.3959
Re 0.0000 0.5000 0.0000
N 0.0000 0.0000 0.5000

DFT (PBE-GGA) results for crystalline DyGaHgPb at its relaxed geometry.

Properties
The total magnetization is 0.0 Bohr magnetons per cell. For the formation energy, the calculation gives -0.20 eV per atom.

abc: 7.4194 7.4194 7.4194
angles: 90.00 90.00 90.00
Space group F-43m (No. 216)
One atom of each set of equivalent atoms:
Dy 0.0000 0.0000 0.0000
Ga 0.2500 0.2500 0.7500
Hg 0.2500 0.2500 0.2500
Pb 0.0000 0.0000 0.5000

DFT (PBE-GGA) results for crystalline PmAlGa2Pt at its relaxed geometry.

Properties
The total magnetization is 0.0 Bohr magnetons per cell. For the formation energy, the calculation gives -0.84 eV per atom.

abc: 4.2455 4.3068 10.7519
angles: 90.00 90.00 90.00
Space group Imm2 (No. 44)
One atom of each set of equivalent atoms:
Pm 0.0000 0.0000 0.0000
Al 0.0000 0.5000 0.7402
Ga 0.0000 0.0000 0.5870
Ga 0.0000 0.5000 0.2370
Pt 0.0000 0.0000 0.3572

DFT (PBE-GGA) results for crystalline AcNpTe at its relaxed geometry.

Properties
The value obtained for the formation energy (no corrections) is -0.438 eV/atom. The total magnetization is 8.9 Bohr magnetons per cell.

abc: 21.6982 3.8936 4.7305
angles: 90.00 93.83 90.00
Space group C2/m (No. 12)
One atom of each set of equivalent atoms:
Ac 0.0866 0.0000 0.2771
Np 0.2428 0.5000 0.3406
Te 0.1472 0.5000 0.8004

DFT (PBE-GGA) results for crystalline AgIr2Au at its relaxed geometry.

Properties
As for the distance to the lowest polymorph of the same formula: 364 meV per atom. The total magnetization is 0.4 Bohr magnetons per cell. For the formation energy, the calculation gives 0.55 eV per atom.

abc: 3.9062 3.9062 4.2163
angles: 90.00 90.00 90.00
Space group P4/mmm (No. 123)
One atom of each set of equivalent atoms:
Ag 0.0000 0.0000 0.0000
Ir 0.0000 0.5000 0.5000
Au 0.5000 0.5000 0.0000

DFT (PBE-GGA) results for crystalline TlMo2Pt at its relaxed geometry.

Properties
As for the distance to the lowest polymorph of the same formula: 60 meV per atom. The total magnetization is 0.0 Bohr magnetons per cell. For the formation energy, the calculation gives 0.32 eV per atom.

abc: 9.6177 3.1577 4.8629
angles: 90.00 102.78 90.00
Space group C2/m (No. 12)
One atom of each set of equivalent atoms:
Tl 0.0000 0.0000 0.0000
Mo 0.2417 0.0000 0.6972
Pt 0.0000 0.5000 0.5000

What did the ninth record say?
DFT (PBE-GGA) results for crystalline TlMo2Pt at its relaxed geometry.

Properties
As for the distance to the lowest polymorph of the same formula: 60 meV per atom. The total magnetization is 0.0 Bohr magnetons per cell. For the formation energy, the calculation gives 0.32 eV per atom.

abc: 9.6177 3.1577 4.8629
angles: 90.00 102.78 90.00
Space group C2/m (No. 12)
One atom of each set of equivalent atoms:
Tl 0.0000 0.0000 0.0000
Mo 0.2417 0.0000 0.6972
Pt 0.0000 0.5000 0.5000